[1]
AgRh2Se | meta-GGA SCAN | PBEsol geometry

abc: 2.903 4.429 5.068
angles: 90.00 106.82 90.00
Positions (direct):
Rh (0.575, 0.500, 0.277)
Ag (0.315, 0.500, 0.751)
Se (0.661, 0.000, 0.447)
Rh (0.949, 0.000, 0.025)

Calculated values
Space group ... No. 6
Energy relative to the elements, uncorrected ... 174.6 meV per atom

[2]
Ba2TeP2O9 | meta-GGA SCAN | PBEsol geometry

abc: 6.951 7.406 8.896
angles: 77.03 79.83 75.38
Positions (direct):
O (0.449, 0.656, 0.144)
Te (0.647, 0.112, 0.044)
P (0.863, 0.878, 0.353)
O (0.672, 0.479, 0.344)
O (0.069, 0.933, 0.675)
P (0.137, 0.122, 0.647)
O (0.623, 0.928, 0.898)
P (0.623, 0.479, 0.183)
O (0.803, 0.466, 0.058)
O (0.377, 0.072, 0.102)
O (0.474, 0.699, 0.802)
Ba (0.370, 0.805, 0.418)
O (0.274, 0.113, 0.778)
Ba (0.899, 0.619, 0.756)
O (0.720, 0.851, 0.507)
O (0.551, 0.344, 0.856)
Ba (0.101, 0.381, 0.244)
O (0.526, 0.301, 0.198)
P (0.377, 0.521, 0.817)
O (0.726, 0.887, 0.222)
Te (0.353, 0.888, 0.956)
O (0.197, 0.534, 0.942)
O (0.931, 0.067, 0.325)
Ba (0.630, 0.195, 0.582)
O (0.328, 0.521, 0.656)
O (0.280, 0.149, 0.493)
O (0.041, 0.707, 0.349)
O (0.959, 0.293, 0.651)

Calculated values
Space group ... No. 2
Energy relative to the elements, uncorrected ... -2648.0 meV per atom

[3]
LaMgCr2 | meta-GGA SCAN | PBEsol geometry

abc: 3.075 3.075 7.989
angles: 90.00 90.00 90.00
Positions (direct):
La (0.000, 0.000, 0.464)
Cr (0.500, 0.500, 0.171)
Cr (0.000, 0.000, 0.052)
Mg (0.500, 0.500, 0.813)

Calculated values
Space group ... No. 99
Formation enthalpy at 0 K ... 0.69 eV per formula unit

[4]
ZnCdIn2 | meta-GGA SCAN | PBEsol geometry

abc: 4.277 4.469 4.512
angles: 90.00 90.00 90.00
Positions (direct):
Zn (0.500, 0.500, 0.000)
Cd (0.000, 0.500, 0.500)
In (0.000, 0.000, 0.000)
In (0.500, 0.000, 0.500)

Calculated values
Space group ... No. 47
Distance to the lowest polymorph of the same formula ... 65 meV/atom
Formation enthalpy at 0 K ... 0.58 eV per formula unit

Number 1: density 10.5 g/cm3, VASP energy -118.29 eV for the cell shown. Number 2: density 4.7 g/cm3, VASP energy -460.60 eV for the cell shown. Number 3: density 5.9 g/cm3, VASP energy -84.16 eV for the cell shown. Number 4: density 7.8 g/cm3, VASP energy -110.12 eV for the cell shown.